# 1
Density functional theory data (PBE-GGA) for a relaxed SrFe2HgIr crystal.

Properties
ρ: 8.36 g cm⁻³
magnetic moment: 5.471 μB/f.u.
final energy: -16.881 eV for the cell shown

Structure (CIF):
```
data_SrFe2HgIr
_space_group_name_H-M_alt 'P 4/m m m'
_space_group_IT_number 123
_space_group_name_Hall '-P 4 2'
_cell_length_a 4.818
_cell_length_b 4.818
_cell_length_c 5.064
_cell_angle_alpha 90.00
_cell_angle_beta 90.00
_cell_angle_gamma 90.00
loop_
_atom_site_label
_atom_site_type_symbol
_atom_site_fract_x
_atom_site_fract_y
_atom_site_fract_z
Sr1 Sr 0.000 0.000 0.000
Fe1 Fe 0.000 0.500 0.000
Hg1 Hg 0.500 0.500 0.500
Ir1 Ir 0.000 0.000 0.500
```

# 2
Density functional theory data (PBE-GGA) for a relaxed VFeHgIr2 crystal.

Properties
ρ: 10.28 g cm⁻³
magnetic moment: 3.611 μB/f.u.
final energy: -24.094 eV for the cell shown

Structure (CIF):
```
data_VFeHgIr2
_space_group_name_H-M_alt 'P 4/m m m'
_space_group_IT_number 123
_space_group_name_Hall '-P 4 2'
_cell_length_a 4.923
_cell_length_b 4.923
_cell_length_c 4.610
_cell_angle_alpha 90.00
_cell_angle_beta 90.00
_cell_angle_gamma 90.00
loop_
_atom_site_label
_atom_site_type_symbol
_atom_site_fract_x
_atom_site_fract_y
_atom_site_fract_z
V1 V 0.000 0.000 0.000
Fe1 Fe 0.500 0.500 0.000
Hg1 Hg 0.500 0.500 0.500
Ir1 Ir 0.000 0.500 0.500
```

# 3
Density functional theory data (PBE-GGA) for a relaxed KFe3Hg crystal.

Properties
ρ: 7.18 g cm⁻³
magnetic moment: 7.688 μB/f.u.
energy above the most stable polymorph in this dataset: 4.556 eV/f.u.

Structure (CIF):
```
data_KFe3Hg
_space_group_name_H-M_alt 'P m -3 m'
_space_group_IT_number 221
_space_group_name_Hall '-P 4 2 3'
_cell_length_a 4.550
_cell_length_b 4.550
_cell_length_c 4.550
_cell_angle_alpha 90.00
_cell_angle_beta 90.00
_cell_angle_gamma 90.00
loop_
_atom_site_label
_atom_site_type_symbol
_atom_site_fract_x
_atom_site_fract_y
_atom_site_fract_z
K1 K 0.000 0.000 0.000
Fe1 Fe 0.000 0.000 0.500
Hg1 Hg 0.500 0.500 0.500
```

# 4
Density functional theory data (PBE-GGA) for a relaxed KFeHg2 crystal.

Properties
ρ: 7.62 g cm⁻³
magnetic moment: 2.917 μB/f.u.
energy above the most stable polymorph in this dataset: 0.275 eV/f.u.

Structure (CIF):
```
data_KFeHg2
_space_group_name_H-M_alt 'C 1 2/m 1'
_space_group_IT_number 12
_cell_length_a 8.690
_cell_length_b 3.298
_cell_length_c 7.626
_cell_angle_alpha 90.00
_cell_angle_beta 98.49
_cell_angle_gamma 90.00
loop_
_space_group_symop_operation_xyz
'x,y,z'
'-x,-y,-z'
'-x,y,-z'
'x,-y,z'
'x+1/2,y+1/2,z'
'-x+1/2,-y+1/2,-z'
'-x+1/2,y+1/2,-z'
'x+1/2,-y+1/2,z'
loop_
_atom_site_label
_atom_site_type_symbol
_atom_site_fract_x
_atom_site_fract_y
_atom_site_fract_z
K1 K 0.000 0.000 0.000
Fe1 Fe 0.000 0.500 0.500
Hg1 Hg 0.232 0.000 0.675
```

# 5
Density functional theory data (PBE-GGA) for a relaxed KFeHg2 crystal.

Properties
ρ: 7.22 g cm⁻³
magnetic moment: 2.526 μB/f.u.
energy above the most stable polymorph in this dataset: 0.226 eV/f.u.

Structure (CIF):
```
data_KFeHg2
_space_group_name_H-M_alt 'P 4 m m'
_space_group_IT_number 99
_cell_length_a 3.743
_cell_length_b 3.743
_cell_length_c 8.144
_cell_angle_alpha 90.00
_cell_angle_beta 90.00
_cell_angle_gamma 90.00
loop_
_space_group_symop_operation_xyz
'x,y,z'
'-y,x,z'
'-x,-y,z'
'y,-x,z'
'-x,y,z'
'y,x,z'
'x,-y,z'
'-y,-x,z'
loop_
_atom_site_label
_atom_site_type_symbol
_atom_site_fract_x
_atom_site_fract_y
_atom_site_fract_z
K1 K 0.000 0.000 0.000
Fe1 Fe 0.500 0.500 0.374
Hg1 Hg 0.000 0.000 0.407
Hg2 Hg 0.500 0.500 0.708
```

# 6
Density functional theory data (PBE-GGA) for a relaxed KFeHg crystal.

Properties
ρ: 5.54 g cm⁻³
magnetic moment: 2.942 μB/f.u.
energy above the most stable polymorph in this dataset: 0.921 eV/f.u.

Structure (CIF):
```
data_KFeHg
_space_group_name_H-M_alt 'F -4 3 m'
_space_group_IT_number 216
_space_group_name_Hall 'F -4 2 3'
_cell_length_a 7.076
_cell_length_b 7.076
_cell_length_c 7.076
_cell_angle_alpha 90.00
_cell_angle_beta 90.00
_cell_angle_gamma 90.00
loop_
_atom_site_label
_atom_site_type_symbol
_atom_site_fract_x
_atom_site_fract_y
_atom_site_fract_z
K1 K 0.000 0.000 0.000
Fe1 Fe 0.250 0.250 0.250
Hg1 Hg 0.000 0.000 0.500
```